Record 1
The following is a DFT calculation (PBE-GGA) of a geometry-optimized SrAsW2 structure.

Geometry as POSCAR:
```
SrAsW2
1.0
5.8221 0.0331 0.0000
-3.1194 4.9161 0.0000
0.0000 0.0000 2.7899
W As Sr
2 1 1
direct
0.5000 0.5000 0.0000 W
0.0000 0.0000 0.0000 W
0.5000 0.0000 0.5000 As
0.0000 0.5000 0.5000 Sr
```

Fermi-level density of states = 4.239 states/eV/f.u.
formation energy from the elements = 1.17 eV/atom
space-group type = Cmmm (65)
E_tot = -6.89 eV per atom

Record 2
The following is a DFT calculation (PBE-GGA) of a geometry-optimized Sm3TmSn2 structure.

Geometry as POSCAR:
```
Sm3TmSn2
1.0
-0.1407 -4.5601 0.4004
3.7871 -0.3409 -2.5525
4.8452 0.4761 7.1251
Sm Sn Tm
3 2 1
direct
0.0000 0.5000 0.6521 Sm
0.0000 0.0000 0.0000 Sm
0.5000 0.0000 0.3479 Sm
0.0000 0.5000 0.2772 Sn
0.5000 0.0000 0.7228 Sn
0.5000 0.5000 0.0000 Tm
```

Fermi-level density of states = 6.616 states/eV/f.u.
formation energy from the elements = -0.58 eV/atom
space-group type = P-4m2 (115)
E_tot = -5.02 eV per atom